[1]
A relaxed structure of La2Cu2Hg, computed with PBE.

The calculation puts the total energy at -38.26 eV for the cell shown.

The structure belongs to space group I4/mmm (No. 139); the cell edges are 3.590, 3.590 and 18.856 Å and the angles 90.00°, 90.00° and 90.00°. Symmetry generates all atoms from La at (0.000, 0.000, 0.118), Cu at (0.000, 0.500, 0.250) and Hg at (0.000, 0.000, 0.500).

=====

[2]
A relaxed structure of SrEuHfInO6, computed with PBE.

The calculation puts the raw formation energy at -2587 meV/atom.

The structure belongs to space group F-43m (No. 216); the cell edges are 8.331, 8.331 and 8.331 Å and the angles 90.00°, 90.00° and 90.00°. Symmetry generates all atoms from Sr at (0.000, 0.000, 0.000), Eu at (0.000, 0.000, 0.500), Hf at (0.250, 0.250, 0.250), In at (0.250, 0.250, 0.750) and O at (0.004, 0.250, 0.250).

=====

[3]
A relaxed structure of SrCo2Sb2, computed with PBE.

The calculation puts the raw formation energy at -2 meV/atom.

The structure belongs to space group P4/mbm (No. 127); the cell edges are 7.793, 7.793 and 3.299 Å and the angles 90.00°, 90.00° and 90.00°. Symmetry generates all atoms from Sr at (0.000, 0.000, 0.000), Co at (0.117, 0.383, 0.000) and Sb at (0.151, 0.651, 0.500).

=====

[4]
A relaxed structure of Ga2SnB, computed with PBE.

The calculation puts the total energy at -60.60 eV for the cell shown.

The structure belongs to space group I-42d (No. 122); the cell edges are 5.994, 5.994 and 9.320 Å and the angles 90.00°, 90.00° and 90.00°. Symmetry generates all atoms from Ga at (0.131, 0.250, 0.125), Sn at (0.000, 0.000, 0.500) and B at (0.000, 0.000, 0.000).

=====

[5]
A relaxed structure of DyPuCuPb, computed with PBE.

The calculation puts the total energy at -108.73 eV for the cell shown.

The structure belongs to space group F-43m (No. 216); the cell edges are 7.400, 7.400 and 7.400 Å and the angles 90.00°, 90.00° and 90.00°. Symmetry generates all atoms from Dy at (0.000, 0.000, 0.000), Pu at (0.000, 0.000, 0.500), Cu at (0.250, 0.250, 0.750) and Pb at (0.250, 0.250, 0.250).

=====

[6]
A relaxed structure of SrPN2, computed with PBE.

The calculation puts the raw formation energy at -365 meV/atom.

The structure belongs to space group R-3m (No. 166, hexagonal axes); the cell edges are 4.0775, 4.0775 and 16.7918 Å and the angles 90.00°, 90.00° and 120.00°. Symmetry generates all atoms from Sr at (0.0000, 0.0000, 0.0000), P at (0.0000, 0.0000, 0.5000) and N at (0.0000, 0.0000, 0.4078).

=====

[7]
A relaxed structure of BaSrC3, computed with PBE.

The calculation puts the total energy at -18.19 eV for the cell shown.

The structure belongs to space group Pm-3m (No. 221); the cell edges are 4.825, 4.825 and 4.825 Å and the angles 90.00°, 90.00° and 90.00°. Symmetry generates all atoms from Ba at (0.000, 0.000, 0.000), Sr at (0.500, 0.500, 0.500) and C at (0.000, 0.000, 0.500).

=====

[8]
A relaxed structure of Ce2NpAs3Rh4, computed with PBE.

The calculation puts the total energy at -76.39 eV for the cell shown.

The structure belongs to space group P-4m2 (No. 115); the cell edges are 4.151, 4.151 and 11.229 Å and the angles 90.00°, 90.00° and 90.00°. Symmetry generates all atoms from Ce at (0.000, 0.500, 0.229), Np at (0.000, 0.000, 0.500), As at (0.000, 0.500, 0.872), As at (0.500, 0.500, 0.500), Rh at (0.000, 0.000, 0.000), Rh at (0.000, 0.500, 0.655) and Rh at (0.500, 0.500, 0.000).